Entry 1:
First-principles (PBE) data for an optimized crystal structure of AcAlZnAu6, as listed in the Alexandria database.

Cell: 8.1245 8.1245 8.1245 Å, 124.38 109.25 96.06°
Atoms (fractional coordinates):
Ac  0.4746  0.2246  0.2500
Ac  0.5254  0.7754  0.7500
Al  0.0000  0.0000  0.0000
Al  0.5000  0.0000  0.5000
Zn  0.0000  0.0000  0.5000
Zn  0.0000  0.5000  0.0000
Au  0.1272  0.4233  0.2976
Au  0.1272  0.8296  0.7039
Au  0.1660  0.9160  0.2500
Au  0.2136  0.4636  0.7500
Au  0.3743  0.1704  0.7976
Au  0.3743  0.5767  0.2039
Au  0.6257  0.4233  0.7961
Au  0.6257  0.8296  0.2024
Au  0.7864  0.5364  0.2500
Au  0.8340  0.0840  0.7500
Au  0.8728  0.1704  0.2961
Au  0.8728  0.5767  0.7024

Results
volume = 21.52 Å³ per atom
energy relative to the elements = -0.30 eV/atom

Entry 2:
First-principles (PBE) data for an optimized crystal structure of Li3Ag2Cl6, as listed in the Alexandria database.

Cell: 18.5187 18.5187 18.5187 Å, 11.77 11.77 11.77°
Atoms (fractional coordinates):
Li  0.0000  0.0000  0.0000
Li  0.2806  0.2806  0.2806
Li  0.7194  0.7194  0.7194
Ag  0.4457  0.4457  0.4457
Ag  0.5543  0.5543  0.5543
Cl  0.0788  0.0788  0.0788
Cl  0.1971  0.1971  0.1971
Cl  0.3597  0.3597  0.3597
Cl  0.6403  0.6403  0.6403
Cl  0.8029  0.8029  0.8029
Cl  0.9212  0.9212  0.9212

Results
energy relative to the lowest polymorph listed for this composition = 9 meV/atom
formation energy without anion corrections = -1111 meV per atom
volume = 20.88 Å³ per atom

Entry 3:
First-principles (PBE) data for an optimized crystal structure of ScInFe, as listed in the Alexandria database.

Cell: 4.6014 4.6014 3.1256 Å, 90.00 90.00 120.00°
Atoms (fractional coordinates):
Sc  0.0000  0.0000  0.0000
In  0.3333  0.6667  0.5000
Fe  0.6667  0.3333  0.5000

Results
volume = 19.10 Å³ per atom
energy relative to the elements = -0.02 eV/atom

Entry 4:
First-principles (PBE) data for an optimized crystal structure of Dy19Y4Sc6, as listed in the Alexandria database.

Cell: 10.6299 10.6299 10.6299 Å, 109.47 109.47 109.47°
Atoms (fractional coordinates):
Dy  0.0000  0.0000  0.0000
Dy  0.0000  0.2660  0.2660
Dy  0.0000  0.7340  0.7340
Dy  0.0079  0.2236  0.6680
Dy  0.2157  0.9921  0.6600
Dy  0.2236  0.6680  0.0079
Dy  0.2660  0.0000  0.2660
Dy  0.2660  0.2660  0.0000
Dy  0.3320  0.5557  0.3400
Dy  0.3400  0.3320  0.5557
Dy  0.4443  0.7764  0.7843
Dy  0.5557  0.3400  0.3320
Dy  0.6600  0.2157  0.9921
Dy  0.6680  0.0079  0.2236
Dy  0.7340  0.0000  0.7340
Dy  0.7340  0.7340  0.0000
Dy  0.7764  0.7843  0.4443
Dy  0.7843  0.4443  0.7764
Dy  0.9921  0.6600  0.2157
Y  0.0000  0.0000  0.3578
Y  0.0000  0.3578  0.0000
Y  0.3578  0.0000  0.0000
Y  0.6422  0.6422  0.6422
Sc  0.1171  0.5000  0.6171
Sc  0.3829  0.8829  0.5000
Sc  0.5000  0.3829  0.8829
Sc  0.5000  0.6171  0.1171
Sc  0.6171  0.1171  0.5000
Sc  0.8829  0.5000  0.3829

Results
volume = 31.88 Å³ per atom
energy relative to the elements = 0.40 eV/atom

Entry 5:
First-principles (PBE) data for an optimized crystal structure of NbCr4Ga, as listed in the Alexandria database.

Cell: 4.8394 4.8394 4.8394 Å, 60.00 60.00 60.00°
Atoms (fractional coordinates):
Nb  0.0000  0.0000  0.0000
Cr  0.1290  0.6237  0.6237
Cr  0.6237  0.1290  0.6237
Cr  0.6237  0.6237  0.1290
Cr  0.6237  0.6237  0.6237
Ga  0.2500  0.2500  0.2500

Results
volume = 13.36 Å³ per atom
energy relative to the elements = -0.03 eV/atom

Entry 6:
First-principles (PBE) data for an optimized crystal structure of EuHg4Bi, as listed in the Alexandria database.

Cell: 6.1705 6.1705 6.1705 Å, 60.00 60.00 60.00°
Atoms (fractional coordinates):
Eu  0.0000  0.0000  0.0000
Hg  0.1262  0.6246  0.6246
Hg  0.6246  0.1262  0.6246
Hg  0.6246  0.6246  0.1262
Hg  0.6246  0.6246  0.6246
Bi  0.2500  0.2500  0.2500

Results
volume = 27.69 Å³ per atom
energy relative to the elements = -0.19 eV/atom